(1)
VASP calculation (PBE-GGA) on LaReRu3 after structural relaxation.

Cell: 4.7057 4.7057 4.7057 Å, 90.00 90.00 90.00°
Fractional coordinates of all 5 atoms:
Re: 0.5000 0.5000 0.5000
La: 0.0000 0.0000 0.0000
Ru: 0.0000 0.5000 0.0000
Ru: 0.0000 0.0000 0.5000
Ru: 0.5000 0.0000 0.0000

Space-group type = Pm-3m (221)
DFT formation energy = 2402 meV/atom
Excess energy over the best structure of this formula in the dataset = 169.8 kJ per mole of atoms

***

(2)
VASP calculation (PBE-GGA) on ErHgRh after structural relaxation.

Cell: 3.5862 3.5862 5.3809 Å, 109.47 109.47 90.00°
Fractional coordinates of all 3 atoms:
Hg: 0.2784 0.2784 0.5568
Er: 0.9640 0.9640 0.9281
Rh: 0.6076 0.6076 0.2152

Space-group type = I4mm (107)
DFT formation energy = -550 meV/atom

***

(3)
VASP calculation (PBE-GGA) on Eu4Hg2H after structural relaxation.

Cell: 4.9120 4.9120 9.1973 Å, 105.49 105.49 90.00°
Fractional coordinates of all 7 atoms:
H: 0.0000 0.0000 0.0000
Hg: 0.6301 0.6301 0.2603
Eu: 0.0000 0.5000 0.0000
Hg: 0.3699 0.3699 0.7397
Eu: 0.5000 0.0000 0.0000
Eu: 0.8192 0.8192 0.6383
Eu: 0.1808 0.1808 0.3617

Space-group type = I4/mmm (139)
E = -6.816 eV per atom

***

(4)
VASP calculation (PBE-GGA) on LaPm2Au after structural relaxation.

Cell: 3.7343 3.7343 8.6980 Å, 90.00 90.00 90.00°
Fractional coordinates of all 4 atoms:
La: 0.5000 0.5000 0.5000
Au: 0.5000 0.5000 0.0000
Pm: 0.0000 0.0000 0.2037
Pm: 0.0000 0.0000 0.7963

Space-group type = P4/mmm (123)
DFT formation energy = -371 meV/atom
Excess energy over the best structure of this formula in the dataset = 3.1 kJ per mole of atoms

***

(5)
VASP calculation (PBE-GGA) on Be2PBr after structural relaxation.

Cell: 4.3534 4.3534 4.3534 Å, 60.00 60.00 60.00°
Fractional coordinates of all 4 atoms:
Be: 0.7500 0.7500 0.7500
P: 0.0000 0.0000 0.0000
Be: 0.2500 0.2500 0.2500
Br: 0.5000 0.5000 0.5000

Space-group type = Fm-3m (225)
Excess energy over the best structure of this formula in the dataset = 122.1 kJ per mole of atoms

***

(6)
VASP calculation (PBE-GGA) on Mn3SiH after structural relaxation.

Cell: 4.9867 5.0272 4.4678 Å, 85.74 89.56 124.54°
Fractional coordinates of all 10 atoms:
Mn: 0.1536 0.6859 0.6400
H: 0.3837 0.5332 0.7930
Mn: 0.6645 0.4467 0.9717
Si: 0.1571 0.9196 0.1451
Mn: 0.6768 0.7276 0.4661
Mn: 0.6784 0.2107 0.4810
Si: 0.6749 0.9772 0.9758
H: 0.4483 0.3634 0.3279
Mn: 0.1675 0.4502 0.1491
Mn: 0.1552 0.1690 0.6547

Space-group type = P-1 (2)
Excess energy over the best structure of this formula in the dataset = 13.2 kJ per mole of atoms

***

(7)
VASP calculation (PBE-GGA) on Dy2MgZn after structural relaxation.

Cell: 5.1896 5.1896 5.1896 Å, 60.00 60.00 60.00°
Fractional coordinates of all 4 atoms:
Dy: 0.7500 0.7500 0.7500
Dy: 0.2500 0.2500 0.2500
Zn: 0.5000 0.5000 0.5000
Mg: 0.0000 0.0000 0.0000

Space-group type = Fm-3m (225)
DFT formation energy = -177 meV/atom
Excess energy over the best structure of this formula in the dataset = 3.1 kJ per mole of atoms

***

(8)
VASP calculation (PBE-GGA) on MgHF3 after structural relaxation.

Cell: 3.1261 4.8599 8.7314 Å, 123.05 90.00 90.00°
Fractional coordinates of all 10 atoms:
F: 0.2500 0.0921 0.3914
Mg: 0.2500 0.1543 0.1837
F: 0.7500 0.4715 0.3022
F: 0.2500 0.1480 0.9486
H: 0.2500 0.2770 0.5299
Mg: 0.7500 0.8457 0.8163
F: 0.7500 0.9079 0.6086
H: 0.7500 0.7230 0.4701
F: 0.2500 0.5285 0.6978
F: 0.7500 0.8520 0.0514

Space-group type = P2_1/m (11)
Excess energy over the best structure of this formula in the dataset = 0.0 kJ per mole of atoms

***

(9)
VASP calculation (PBE-GGA) on NaOsW3 after structural relaxation.

Cell: 4.4079 4.4079 4.4079 Å, 90.00 90.00 90.00°
Fractional coordinates of all 5 atoms:
W: 0.5000 0.0000 0.0000
Na: 0.0000 0.0000 0.0000
W: 0.0000 0.0000 0.5000
W: 0.0000 0.5000 0.0000
Os: 0.5000 0.5000 0.5000

Space-group type = Pm-3m (221)
DFT formation energy = 3065 meV/atom
Excess energy over the best structure of this formula in the dataset = 109.8 kJ per mole of atoms

***

(10)
VASP calculation (PBE-GGA) on MgSc6In after structural relaxation.

Cell: 5.1529 5.1529 8.5266 Å, 77.31 77.31 74.52°
Fractional coordinates of all 8 atoms:
Mg: 0.0000 0.0000 0.0000
Sc: 0.4535 0.9419 0.7018
Sc: 0.3599 0.3599 0.9381
In: 0.5000 0.5000 0.5000
Sc: 0.6401 0.6401 0.0619
Sc: 0.0581 0.5465 0.2982
Sc: 0.9419 0.4535 0.7018
Sc: 0.5465 0.0581 0.2982

Space-group type = C2/m (12)
DFT formation energy = 164 meV/atom
Excess energy over the best structure of this formula in the dataset = 28.2 kJ per mole of atoms

***

(11)
VASP calculation (PBE-GGA) on Tl3TeSe2 after structural relaxation.

Cell: 8.1136 8.1136 8.1136 Å, 63.31 63.31 63.31°
Fractional coordinates of all 12 atoms:
Tl: 0.5461 0.9539 0.2500
Tl: 0.9539 0.2500 0.5461
Se: 0.8520 0.8520 0.8520
Se: 0.6480 0.6480 0.6480
Tl: 0.2500 0.5461 0.9539
Se: 0.1480 0.1480 0.1480
Se: 0.3520 0.3520 0.3520
Te: 0.5000 0.5000 0.5000
Tl: 0.0461 0.7500 0.4539
Tl: 0.4539 0.0461 0.7500
Tl: 0.7500 0.4539 0.0461
Te: 0.0000 0.0000 0.0000

Space-group type = R-3c (167)
Excess energy over the best structure of this formula in the dataset = 0.0 kJ per mole of atoms

***

(12)
VASP calculation (PBE-GGA) on RbPr3Se4O12 after structural relaxation.

Cell: 7.8923 7.8923 7.8923 Å, 106.72 106.72 106.72°
Fractional coordinates of all 20 atoms:
O: 0.3502 0.6498 0.5000
Se: 0.5000 0.5000 0.5000
O: 0.6241 0.7880 0.0800
O: 0.7880 0.0800 0.6241
O: 0.5000 0.1177 0.8823
O: 0.2120 0.3759 0.9200
Pr: 0.5647 0.4353 0.0000
Se: 0.5000 0.9346 0.0654
Rb: 0.0000 0.0000 0.0000
O: 0.6498 0.5000 0.3502
Se: 0.9346 0.0654 0.5000
O: 0.5000 0.3502 0.6498
O: 0.8823 0.5000 0.1177
O: 0.3759 0.9200 0.2120
Pr: 0.0000 0.5647 0.4353
O: 0.9200 0.2120 0.3759
Pr: 0.4353 0.0000 0.5647
O: 0.1177 0.8823 0.5000
Se: 0.0654 0.5000 0.9346
O: 0.0800 0.6241 0.7880

Space-group type = R32 (155)
E = -5.984 eV per atom